Here is a relaxed MoPPt2 crystal from Alexandria via LeMat-Bulk. Energies are from PBE.

Computed properties:
The value obtained for the formation energy is -0.06 eV per atom. Its total magnetic moment is 0.0 μB per formula unit.

Cell: 2.8344 2.8344 7.6100 Å, 90.00 90.00 90.00°
Fractional coordinates of all 4 atoms:
1 Mo 0.5000 0.5000 0.0000
2 P 0.5000 0.5000 0.5000
3 Pt 0.0000 0.0000 0.7466
4 Pt 0.0000 0.0000 0.2534